{"formula": "SmHgBr2", "functional": "PBE-GGA", "state": "optimized geometry", "raw_formation_energy_ev_per_atom": -1.20, "e_tot_ev_per_atom": -3.2935, "space_group": "R-3m", "lattice_angstrom": [[3.928, 0.000, 0.000], [1.964, 3.402, 0.000], [1.964, 1.134, 11.830]], "species": ["Hg", "Br", "Br", "Sm"], "fractional_positions": [[0.000, 0.000, 0.000], [0.886, 0.886, 0.341], [0.114, 0.114, 0.659], [0.500, 0.500, 0.500]]}



{"formula": "Sm4HgBr5", "functional": "PBE-GGA", "state": "optimized geometry", "raw_formation_energy_ev_per_atom": -1.31, "e_tot_ev_per_atom": -4.0683, "space_group": "C2/m", "lattice_angstrom": [[4.090, 0.000, 0.000], [0.000, 8.887, 0.229], [-2.045, -2.102, 8.993]], "species": ["Br", "Br", "Br", "Br", "Br", "Sm", "Sm", "Sm", "Sm", "Hg"], "fractional_positions": [[0.832, 0.678, 0.664], [0.168, 0.322, 0.336], [0.830, 0.174, 0.661], [0.170, 0.826, 0.339], [0.500, 0.500, 0.000], [0.337, 0.926, 0.674], [0.997, 0.758, 0.994], [0.003, 0.242, 0.006], [0.663, 0.074, 0.326], [0.500, 0.000, 0.000]]}



{"formula": "Sm7HgBr12", "functional": "PBE-GGA", "state": "optimized geometry", "raw_formation_energy_ev_per_atom": -1.53, "e_tot_ev_per_atom": -4.2041, "space_group": "R-3", "lattice_angstrom": [[9.048, -0.409, -2.903], [-3.862, 8.192, -2.903], [-0.272, -0.409, 9.498]], "species": ["Sm", "Sm", "Sm", "Sm", "Sm", "Sm", "Sm", "Br", "Br", "Br", "Br", "Br", "Br", "Br", "Br", "Br", "Br", "Br", "Br", "Hg"], "fractional_positions": [[0.500, 0.500, 0.500], [0.864, 0.942, 0.648], [0.058, 0.352, 0.136], [0.942, 0.648, 0.864], [0.648, 0.864, 0.942], [0.352, 0.136, 0.058], [0.136, 0.058, 0.352], [0.925, 0.303, 0.782], [0.602, 0.516, 0.841], [0.075, 0.697, 0.218], [0.159, 0.398, 0.484], [0.697, 0.218, 0.075], [0.303, 0.782, 0.925], [0.398, 0.484, 0.159], [0.516, 0.841, 0.602], [0.841, 0.602, 0.516], [0.218, 0.075, 0.697], [0.484, 0.159, 0.398], [0.782, 0.925, 0.303], [0.000, 0.000, 0.000]]}



{"formula": "SmHg2Br8", "functional": "PBE-GGA", "state": "optimized geometry", "raw_formation_energy_ev_per_atom": -0.81, "e_tot_ev_per_atom": -2.5071, "space_group": "C2/m", "lattice_angstrom": [[6.752, -1.081, -0.755], [-0.223, 8.483, 0.318], [-0.223, 3.218, 7.855]], "species": ["Br", "Br", "Br", "Br", "Br", "Br", "Br", "Br", "Hg", "Hg", "Sm"], "fractional_positions": [[0.175, 0.620, 0.620], [0.218, 0.701, 0.131], [0.288, 0.179, 0.179], [0.782, 0.869, 0.299], [0.782, 0.299, 0.869], [0.825, 0.380, 0.380], [0.712, 0.821, 0.821], [0.218, 0.131, 0.701], [0.306, 0.801, 0.801], [0.694, 0.199, 0.199], [0.000, 0.000, 0.000]]}



{"formula": "Sm3HgTeBr", "functional": "PBE-GGA", "state": "optimized geometry", "raw_formation_energy_ev_per_atom": -1.00, "e_tot_ev_per_atom": -4.2103, "space_group": "P2_1/m", "lattice_angstrom": [[4.115, 0.000, 0.000], [0.000, 7.825, -0.297], [0.000, -2.279, 11.403]], "species": ["Hg", "Hg", "Sm", "Sm", "Sm", "Sm", "Sm", "Sm", "Br", "Br", "Te", "Te"], "fractional_positions": [[0.750, 0.650, 0.694], [0.250, 0.350, 0.306], [0.250, 0.931, 0.836], [0.250, 0.703, 0.498], [0.250, 0.454, 0.826], [0.750, 0.069, 0.164], [0.750, 0.546, 0.174], [0.750, 0.297, 0.502], [0.250, 0.117, 0.627], [0.750, 0.883, 0.373], [0.250, 0.764, 0.057], [0.750, 0.236, 0.943]]}



{"formula": "Sn2Hg2Br7", "functional": "PBE-GGA", "state": "optimized geometry", "raw_formation_energy_ev_per_atom": -0.53, "e_tot_ev_per_atom": -2.3743, "space_group": "C2/m", "lattice_angstrom": [[11.095, 0.686, 0.784], [-0.622, 7.295, -1.462], [-0.622, -2.419, 7.036]], "species": ["Br", "Br", "Br", "Br", "Br", "Br", "Br", "Sn", "Sn", "Hg", "Hg"], "fractional_positions": [[0.160, 0.022, 0.369], [0.500, 0.000, 0.000], [0.153, 0.670, 0.670], [0.840, 0.631, 0.978], [0.160, 0.369, 0.022], [0.840, 0.978, 0.631], [0.847, 0.330, 0.330], [0.000, 0.334, 0.666], [0.000, 0.666, 0.334], [0.736, 0.964, 0.964], [0.264, 0.036, 0.036]]}